The following is a DFT calculation (PBE) of Li2TcB10 after structural relaxation.

Cell and atoms, written as CIF:
```
data_Li2TcB10
_space_group_name_H-M_alt 'P b a m'
_space_group_IT_number 55
_space_group_name_Hall '-P 2 2ab'
_cell_length_a 4.8439
_cell_length_b 12.4485
_cell_length_c 4.1861
_cell_angle_alpha 90.00
_cell_angle_beta 90.00
_cell_angle_gamma 90.00
loop_
_atom_site_label
_atom_site_type_symbol
_atom_site_fract_x
_atom_site_fract_y
_atom_site_fract_z
_atom_site_occupancy
Li1 Li 0.2370 0.1677 0.0000 1
Tc1 Tc 0.0000 0.5000 0.5000 1
B1 B 0.0397 0.3188 0.5000 1
B2 B 0.0439 0.9353 0.5000 1
B3 B 0.1140 0.7998 0.5000 1
B4 B 0.2394 0.3754 0.1955 1
```

Computed properties:
As for the total energy: -6.126 eV/atom.

---

The following is a DFT calculation (PBE) of PmSi3Ir2 after structural relaxation.

Cell and atoms, written as CIF:
```
data_PmSi3Ir2
_space_group_name_H-M_alt 'C m c m'
_space_group_IT_number 63
_space_group_name_Hall '-C 2c 2'
_cell_length_a 9.5790
_cell_length_b 7.6121
_cell_length_c 5.5091
_cell_angle_alpha 90.00
_cell_angle_beta 90.00
_cell_angle_gamma 90.00
loop_
_atom_site_label
_atom_site_type_symbol
_atom_site_fract_x
_atom_site_fract_y
_atom_site_fract_z
_atom_site_occupancy
Pm1 Pm 0.0000 0.1685 0.2500 1
Si1 Si 0.0000 0.4457 0.7500 1
Si2 Si 0.1675 0.2103 0.7500 1
Ir1 Ir 0.2086 0.5000 0.0000 1
```

Computed properties:
The value obtained for the uncorrected formation energy is -0.69 eV/atom. Its energy relative to the lowest polymorph listed for this composition is 130.0 meV/atom.

---

The following is a DFT calculation (PBE) of CePr3Ru3 after structural relaxation.

Cell and atoms, written as CIF:
```
data_CePr3Ru3
_space_group_name_H-M_alt 'C 1 2/m 1'
_space_group_IT_number 12
_space_group_name_Hall '-C 2y'
_cell_length_a 11.0635
_cell_length_b 9.3863
_cell_length_c 6.7256
_cell_angle_alpha 90.00
_cell_angle_beta 97.74
_cell_angle_gamma 90.00
loop_
_atom_site_label
_atom_site_type_symbol
_atom_site_fract_x
_atom_site_fract_y
_atom_site_fract_z
_atom_site_occupancy
Ce1 Ce 0.2037 0.0000 0.4119 1
Pr1 Pr 0.0000 0.1884 0.0000 1
Pr2 Pr 0.0000 0.2952 0.5000 1
Pr3 Pr 0.1899 0.5000 0.0348 1
Ru1 Ru 0.0706 0.0000 0.6965 1
Ru2 Ru 0.2448 0.2622 0.7202 1
```

Computed properties:
Its energy relative to the lowest polymorph listed for this composition is 8.4 meV/atom.